A plane-wave DFT calculation with GGA-PBE was carried out for crystalline KTeAs4 at its relaxed geometry.

POSCAR file:
```
KTeAs4
1.0
-1.475 -1.853 5.870
-4.239 -4.616 0.890
1.885 -5.667 2.097
As Te K
4 1 1
Cartesian
-2.228 -5.353 6.642 As
-3.901 -7.025 3.627 As
-0.194 -7.662 4.358 As
-1.335 -4.231 3.088 As
0.000 0.000 0.000 Te
-2.871 -9.102 6.643 K
```

Output
* total magnetic moment: 0.00 μB per atom
* space-group type: F-43m, No. 216
* formation energy without anion corrections: -0.007 eV per atom